[1]
Below is a relaxed structure of SrHfTc2B, with properties calculated at the PBE-GGA level.

a = 4.3788 Å, b = 4.3788 Å, c = 4.6591 Å
α = 90.00°, β = 90.00°, γ = 90.00°
Fractional positions:
Sr1 0.0000 0.0000 0.0000
Hf1 0.5000 0.5000 0.0000
Tc1 0.0000 0.5000 0.5000
Tc2 0.5000 0.0000 0.5000
B1 0.5000 0.5000 0.5000

Summary:
Total energy (eV/atom): -7.38
Size of the total moment (μB/cell): 0.0

***

[2]
Below is a relaxed structure of MnCu2As, with properties calculated at the PBE-GGA level.

a = 3.6671 Å, b = 3.6671 Å, c = 4.0220 Å
α = 90.00°, β = 90.00°, γ = 90.00°
Fractional positions:
Mn1 0.0000 0.0000 0.0000
Cu1 0.0000 0.5000 0.5000
Cu2 0.5000 0.0000 0.5000
As1 0.5000 0.5000 0.0000

Summary:
Total energy (eV/atom): -5.49
Size of the total moment (μB/cell): 3.5

***

[3]
Below is a relaxed structure of TaAsPt2, with properties calculated at the PBE-GGA level.

a = 4.9238 Å, b = 4.9238 Å, c = 4.7091 Å
α = 92.81°, β = 92.81°, γ = 36.58°
Fractional positions:
Ta1 0.0000 0.0000 0.0000
As1 0.2406 0.2406 0.7437
Pt1 0.4570 0.4570 0.4739
Pt2 0.7231 0.7231 0.2071

Summary:
Total energy (eV/atom): -7.46
Size of the total moment (μB/cell): 0.0

***

[4]
Below is a relaxed structure of Sn2HgAu6, with properties calculated at the PBE-GGA level.

a = 8.9747 Å, b = 8.9747 Å, c = 5.2740 Å
α = 91.18°, β = 91.18°, γ = 120.87°
Fractional positions:
Sn1 0.1629 0.3377 0.0010
Sn2 0.3377 0.1629 0.5010
Sn3 0.6623 0.8371 0.4990
Sn4 0.8371 0.6623 0.9990
Hg1 0.2498 0.7502 0.7500
Hg2 0.7502 0.2498 0.2500
Au1 0.0015 0.1656 0.5024
Au2 0.0850 0.5857 0.2560
Au3 0.1656 0.0015 0.0024
Au4 0.3340 0.4988 0.4985
Au5 0.4143 0.9150 0.2440
Au6 0.4988 0.3340 0.9985
Au7 0.5012 0.6660 0.0015
Au8 0.5857 0.0850 0.7560
Au9 0.6660 0.5012 0.5015
Au10 0.8344 0.9985 0.9976
Au11 0.9150 0.4143 0.7440
Au12 0.9985 0.8344 0.4976

Summary:
Total energy (eV/atom): -3.13
Size of the total moment (μB/cell): 0.0

***

[5]
Below is a relaxed structure of InCuCl, with properties calculated at the PBE-GGA level.

a = 4.6684 Å, b = 4.6684 Å, c = 4.6684 Å
α = 60.00°, β = 60.00°, γ = 60.00°
Fractional positions:
In1 0.0000 0.0000 0.0000
Cu1 0.2500 0.2500 0.2500
Cl1 0.5000 0.5000 0.5000

Summary:
Offset from the most stable computed form (eV per atom): 0.282
E_form (uncorrected) (eV/f.u.): 0.189
Size of the total moment (μB/cell): 0.0

***

[6]
Below is a relaxed structure of H4S3, with properties calculated at the PBE-GGA level.

a = 7.0485 Å, b = 7.0485 Å, c = 7.0485 Å
α = 43.84°, β = 43.84°, γ = 43.84°
Fractional positions:
H1 0.1921 0.1921 0.1921
H2 0.2355 0.6989 0.6989
H3 0.3011 0.3011 0.7645
H4 0.3011 0.7645 0.3011
H5 0.6989 0.2355 0.6989
H6 0.6989 0.6989 0.2355
H7 0.7645 0.3011 0.3011
H8 0.8079 0.8079 0.8079
S1 0.0000 0.5000 0.5000
S2 0.1199 0.1199 0.1199
S3 0.5000 0.0000 0.5000
S4 0.5000 0.5000 0.0000
S5 0.5000 0.5000 0.5000
S6 0.8801 0.8801 0.8801

Summary:
Total energy (eV/atom): -3.34
Size of the total moment (μB/cell): 0.0

***

no.,mass density (g/cm³)
1,8.8
2,7.9
3,15.8
4,14.8
5,4.9
6,2.2